Version w
Here is an optimized crystal structure of KPtCl from Alexandria via LeMat-Bulk. Energies are from PBE.

Cell: 9.0217 4.4214 9.1551 Å, 90.00 90.00 90.00°
Atoms (fractional coordinates):
1 K 0.2422 0.2500 0.0165
2 K 0.2578 0.7500 0.5165
3 K 0.7422 0.2500 0.4835
4 K 0.7578 0.7500 0.9835
5 Pt 0.0162 0.7500 0.2392
6 Pt 0.4838 0.2500 0.7392
7 Pt 0.5162 0.7500 0.2608
8 Pt 0.9838 0.2500 0.7608
9 Cl 0.0379 0.2500 0.2969
10 Cl 0.4621 0.7500 0.7969
11 Cl 0.5379 0.2500 0.2031
12 Cl 0.9621 0.7500 0.7031

Values from the calculation:
As for the crystal system: orthorhombic. The density of states at the Fermi level comes out at 0.00 states/eV/f.u.

---

Version x
Here is an optimized crystal structure of KPtCl from Alexandria via LeMat-Bulk. Energies are from PBE.

Cell: 5.3440 5.3440 9.0901 Å, 90.00 90.00 120.00°
Atoms (fractional coordinates):
1 K 0.3333 0.6667 0.2500
2 K 0.6667 0.3333 0.7500
3 Pt 0.0000 0.0000 0.0000
4 Pt 0.0000 0.0000 0.5000
5 Cl 0.0000 0.0000 0.2500
6 Cl 0.0000 0.0000 0.7500

Values from the calculation:
As for the crystal system: hexagonal. The density of states at the Fermi level comes out at 2.19 states/eV/f.u.

---

Version y
Here is an optimized crystal structure of KPtCl from Alexandria via LeMat-Bulk. Energies are from PBE.

Cell: 3.7597 8.7859 10.7986 Å, 90.00 90.00 90.00°
Atoms (fractional coordinates):
1 K 0.2500 0.2138 0.0000
2 K 0.2500 0.7138 0.5000
3 K 0.7500 0.2862 0.5000
4 K 0.7500 0.7862 0.0000
5 Pt 0.2500 0.4015 0.7385
6 Pt 0.2500 0.9015 0.2385
7 Pt 0.7500 0.0985 0.2385
8 Pt 0.7500 0.5985 0.7385
9 Cl 0.2500 0.2903 0.2694
10 Cl 0.2500 0.7903 0.7694
11 Cl 0.7500 0.2097 0.7694
12 Cl 0.7500 0.7097 0.2694

Values from the calculation:
As for the crystal system: orthorhombic. The density of states at the Fermi level comes out at 0.00 states/eV/f.u.

---

Version z
Here is an optimized crystal structure of KPtCl from Alexandria via LeMat-Bulk. Energies are from PBE.

Cell: 11.7862 3.7351 7.1806 Å, 90.00 98.25 90.00°
Atoms (fractional coordinates):
1 K 0.0943 0.0000 0.2856
2 K 0.4057 0.5000 0.7144
3 K 0.5943 0.5000 0.2856
4 K 0.9057 0.0000 0.7144
5 Pt 0.2077 0.0000 0.8894
6 Pt 0.2923 0.5000 0.1106
7 Pt 0.7077 0.5000 0.8894
8 Pt 0.7923 0.0000 0.1106
9 Cl 0.1273 0.5000 0.6737
10 Cl 0.3727 0.0000 0.3263
11 Cl 0.6273 0.0000 0.6737
12 Cl 0.8727 0.5000 0.3263

Values from the calculation:
As for the crystal system: monoclinic. The density of states at the Fermi level comes out at 0.00 states/eV/f.u.

---

Which structure is the most stable? The one labeled version z.

---

Version w
Here is an optimized crystal structure of KPtCl from Alexandria via LeMat-Bulk. Energies are from PBE.

Cell: 11.6214 3.7479 7.7495 Å, 90.00 98.99 90.00°
Atoms (fractional coordinates):
1 K 0.0000 0.0000 0.0000
2 K 0.1495 0.5000 0.4508
3 K 0.5000 0.5000 0.0000
4 K 0.6495 0.0000 0.4508
5 Pt 0.3349 0.0000 0.2399
6 Pt 0.4143 0.5000 0.4514
7 Pt 0.8349 0.5000 0.2399
8 Pt 0.9143 0.0000 0.4514
9 Cl 0.2359 0.5000 0.0536
10 Cl 0.4572 0.0000 0.6700
11 Cl 0.7359 0.0000 0.0536
12 Cl 0.9572 0.5000 0.6700

Values from the calculation:
As for the crystal system: monoclinic. The density of states at the Fermi level comes out at 0.00 states/eV/f.u.

---

Version x
Here is an optimized crystal structure of KPtCl from Alexandria via LeMat-Bulk. Energies are from PBE.

Cell: 4.4708 4.5929 8.2991 Å, 86.02 88.70 89.72°
Atoms (fractional coordinates):
1 K 0.0000 0.0000 0.0000
2 K 0.0447 0.0804 0.4301
3 Pt 0.5420 0.5720 0.3263
4 Pt 0.5427 0.5795 0.6357
5 Cl 0.0390 0.5464 0.7012
6 Cl 0.5062 0.5094 0.0540

Values from the calculation:
As for the crystal system: triclinic. The density of states at the Fermi level comes out at 2.02 states/eV/f.u.

---

Version y
Here is an optimized crystal structure of KPtCl from Alexandria via LeMat-Bulk. Energies are from PBE.

Cell: 4.7828 4.7947 9.1773 Å, 98.56 102.24 90.03°
Atoms (fractional coordinates):
1 K 0.0000 0.0000 0.0000
2 K 0.3217 0.3721 0.5705
3 Pt 0.5937 0.2841 0.2308
4 Pt 0.6279 0.8074 0.3098
5 Cl 0.1435 0.8099 0.3537
6 Cl 0.9078 0.4396 0.7834

Values from the calculation:
As for the crystal system: triclinic. The density of states at the Fermi level comes out at 1.22 states/eV/f.u.

---

Version z
Here is an optimized crystal structure of KPtCl from Alexandria via LeMat-Bulk. Energies are from PBE.

Cell: 7.1204 7.1204 7.1204 Å, 90.00 90.00 90.00°
Atoms (fractional coordinates):
1 K 0.0000 0.0000 0.0000
2 K 0.0000 0.5000 0.5000
3 K 0.5000 0.0000 0.5000
4 K 0.5000 0.5000 0.0000
5 Pt 0.2500 0.2500 0.2500
6 Pt 0.2500 0.7500 0.7500
7 Pt 0.7500 0.2500 0.7500
8 Pt 0.7500 0.7500 0.2500
9 Cl 0.2500 0.2500 0.7500
10 Cl 0.2500 0.7500 0.2500
11 Cl 0.7500 0.2500 0.2500
12 Cl 0.7500 0.7500 0.7500

Values from the calculation:
As for the crystal system: cubic. The density of states at the Fermi level comes out at 4.47 states/eV/f.u.

---

Which structure is the most stable? The one labeled version w.

---

Version w
Here is an optimized crystal structure of KPtCl from Alexandria via LeMat-Bulk. Energies are from PBE.

Cell: 5.1386 5.1386 6.2601 Å, 90.00 90.00 90.00°
Atoms (fractional coordinates):
1 K 0.2500 0.2500 0.1382
2 K 0.7500 0.7500 0.8618
3 Pt 0.2500 0.2500 0.6172
4 Pt 0.7500 0.7500 0.3828
5 Cl 0.2500 0.7500 0.5000
6 Cl 0.7500 0.2500 0.5000

Values from the calculation:
As for the crystal system: tetragonal. The density of states at the Fermi level comes out at 1.57 states/eV/f.u.

---

Version x
Here is an optimized crystal structure of KPtCl from Alexandria via LeMat-Bulk. Energies are from PBE.

Cell: 4.5096 5.6999 7.8885 Å, 88.63 89.92 67.46°
Atoms (fractional coordinates):
1 K 0.0000 0.0000 0.0000
2 K 0.3220 0.3380 0.3885
3 Pt 0.6835 0.6212 0.1454
4 Pt 0.7129 0.5589 0.8251
5 Cl 0.2584 0.4656 0.7846
6 Cl 0.6268 0.7414 0.4261

Values from the calculation:
As for the crystal system: triclinic. The density of states at the Fermi level comes out at 0.70 states/eV/f.u.

---

Which structure is the most stable? The one labeled version x.

---

Version w
Here is an optimized crystal structure of KPt2Cl from Alexandria via LeMat-Bulk. Energies are from PBE.

Cell: 3.8125 3.8125 6.8850 Å, 90.00 90.00 90.00°
Atoms (fractional coordinates):
1 K 0.0000 0.0000 0.0000
2 Pt 0.0000 0.5000 0.5000
3 Pt 0.5000 0.0000 0.5000
4 Cl 0.5000 0.5000 0.0000

Values from the calculation:
As for the crystal system: tetragonal. The density of states at the Fermi level comes out at 5.49 states/eV/f.u.

---

Version x
Here is an optimized crystal structure of KPt2Cl from Alexandria via LeMat-Bulk. Energies are from PBE.

Cell: 3.6717 5.9251 9.6255 Å, 90.00 90.00 90.00°
Atoms (fractional coordinates):
1 K 0.0000 0.0000 0.0000
2 K 0.5000 0.5000 0.5000
3 Pt 0.0000 0.0000 0.5353
4 Pt 0.0000 0.5000 0.8586
5 Pt 0.5000 0.0000 0.3586
6 Pt 0.5000 0.5000 0.0353
7 Cl 0.0000 0.5000 0.1980
8 Cl 0.5000 0.0000 0.6980

Values from the calculation:
As for the crystal system: orthorhombic.

---

Which structure is the most stable? The one labeled version x.